A relaxed structure of Sm6Y8Al, computed with PBE.

The structure in CIF format:
```
data_Sm6Y8Al
_symmetry_space_group_name_H-M 'P -3'
_symmetry_Int_Tables_number 147
_cell_length_a 9.5748
_cell_length_b 9.5748
_cell_length_c 6.1738
_cell_angle_alpha 90.00
_cell_angle_beta 90.00
_cell_angle_gamma 120.00
loop_
_symmetry_equiv_pos_as_xyz
'x,y,z'
'-x,-y,-z'
'-y,x-y,z'
'y,-x+y,-z'
'-x+y,-x,z'
'x-y,x,-z'
loop_
_atom_site_label
_atom_site_type_symbol
_atom_site_fract_x
_atom_site_fract_y
_atom_site_fract_z
Sm1 Sm 0.0912 0.4585 0.1983
Y1 Y 0.0395 0.2578 0.7065
Y2 Y 0.3333 0.6667 0.6960
Al1 Al 0.0000 0.0000 0.0000
```

- crystal system = trigonal
- D(E_F) (states/eV/f.u.) = 20.79
- electronic total energy (eV/atom) = -5.51
- volume (Å³ per cell) = 490